1.
Density functional theory data (PBE) for crystalline Te2OsBrN at its relaxed geometry.

abc: 5.4440 5.4440 3.5585
angles: 90.00 90.00 90.00
With the nearest neighbours (Å) after each atom.
Space group P4/mmm (No. 123)
Symmetry-distinct sites (fractional):
Te 0.0000 0.5000 0.0000  2 Br 2.72
Os 0.0000 0.0000 0.5000  8 Te 3.25, 2 Os 3.56
Br 0.5000 0.5000 0.0000  2 N 1.78
N 0.5000 0.5000 0.5000  2 Br 1.78

Calculated values
Polymorph energy (0 for the lowest one): 1715.8 meV per atom

2.
Density functional theory data (PBE) for crystalline TeOsBrN2 at its relaxed geometry.

abc: 3.8181 3.8181 7.3924
angles: 90.00 90.00 90.00
With the nearest neighbours (Å) after each atom.
Space group P4/mmm (No. 123)
Symmetry-distinct sites (fractional):
Te 0.0000 0.0000 0.0000  4 Os 2.70
Os 0.5000 0.5000 0.0000  4 Te 2.70
Br 0.0000 0.0000 0.5000  4 N 1.91
N 0.0000 0.5000 0.5000  2 Br 1.91

Calculated values
Polymorph energy (0 for the lowest one): 1898.1 meV per atom

3.
Density functional theory data (PBE) for crystalline ZnOsBr2N at its relaxed geometry.

abc: 5.4079 5.4079 3.6551
angles: 90.00 90.00 90.00
With the nearest neighbours (Å) after each atom.
Space group P4/mmm (No. 123)
Symmetry-distinct sites (fractional):
Zn 0.0000 0.0000 0.0000  2 N 1.83
Os 0.5000 0.5000 0.5000  8 Br 3.26, 2 Os 3.66
Br 0.0000 0.5000 0.0000  2 Zn 2.70
N 0.0000 0.0000 0.5000  2 Zn 1.83

4.
Density functional theory data (PBE) for crystalline PBrN2 at its relaxed geometry.

abc: 4.4240 4.4240 15.9639
angles: 90.00 90.00 120.00
With the nearest neighbours (Å) after each atom.
Space group R-3m (No. 166, hexagonal axes)
Symmetry-distinct sites (fractional):
P 0.0000 0.0000 0.0000  2 N 1.56
Br 0.0000 0.0000 0.5000  6 N 2.78
N 0.0000 0.0000 0.0975  1 P 1.56

Calculated values
Polymorph energy (0 for the lowest one): 886.7 meV per atom

5.
Density functional theory data (PBE) for crystalline PBr3N at its relaxed geometry.

abc: 4.6596 4.6596 4.6596
angles: 90.00 90.00 90.00
With the nearest neighbours (Å) after each atom.
Space group Pm-3m (No. 221)
Symmetry-distinct sites (fractional):
P 0.0000 0.0000 0.0000  12 Br 3.29
Br 0.0000 0.5000 0.5000  2 N 2.33
N 0.5000 0.5000 0.5000  6 Br 2.33

Calculated values
Polymorph energy (0 for the lowest one): 395.3 meV per atom

6.
Density functional theory data (PBE) for crystalline PBrN3 at its relaxed geometry.

abc: 3.8577 3.8577 3.8577
angles: 90.00 90.00 90.00
With the nearest neighbours (Å) after each atom.
Space group Pm-3m (No. 221)
Symmetry-distinct sites (fractional):
P 0.0000 0.0000 0.0000  12 N 2.73
Br 0.5000 0.5000 0.5000  6 N 1.93
N 0.0000 0.5000 0.5000  2 Br 1.93

7.
Density functional theory data (PBE) for crystalline PBrN2 at its relaxed geometry.

abc: 7.4605 7.4605 7.4605
angles: 90.00 90.00 90.00
With the nearest neighbours (Å) after each atom.
Space group Fd-3m (No. 227, origin choice 2)
Symmetry-distinct sites (fractional):
P 0.1250 0.1250 0.1250  4 N 1.62
Br 0.1250 0.1250 0.6250  12 N 3.09, 4 P 3.23, 4 Br 3.23
N 0.0000 0.0000 0.0000  2 P 1.62

Calculated values
Polymorph energy (0 for the lowest one): 0.0 meV per atom

8.
Density functional theory data (PBE) for crystalline PBrN at its relaxed geometry.

abc: 5.1507 8.9070 4.8561
angles: 90.00 90.00 90.00
With the nearest neighbours (Å) after each atom.
Space group Pca2_1 (No. 29)
Symmetry-distinct sites (fractional):
P 0.0893 0.0953 0.0000  3 N 1.73-1.82
Br 0.0123 0.3161 0.7006  1 P 2.48
N 0.1405 0.0172 0.3430  3 P 1.73-1.82

9.
Density functional theory data (PBE) for crystalline P3BrN at its relaxed geometry.

abc: 4.2687 4.2687 4.2687
angles: 90.00 90.00 90.00
With the nearest neighbours (Å) after each atom.
Space group Pm-3m (No. 221)
Symmetry-distinct sites (fractional):
P 0.0000 0.0000 0.5000  2 N 2.13
Br 0.5000 0.5000 0.5000  12 P 3.02
N 0.0000 0.0000 0.0000  6 P 2.13

Calculated values
Polymorph energy (0 for the lowest one): 0.0 meV per atom

10.
Density functional theory data (PBE) for crystalline PBrN3 at its relaxed geometry.

abc: 3.5744 3.5744 3.5744
angles: 90.00 90.00 90.00
With the nearest neighbours (Å) after each atom.
Space group Pm-3m (No. 221)
Symmetry-distinct sites (fractional):
P 0.0000 0.0000 0.0000  6 N 1.79
Br 0.5000 0.5000 0.5000  12 N 2.53
N 0.0000 0.0000 0.5000  2 P 1.79

11.
Density functional theory data (PBE) for crystalline PBrN2 at its relaxed geometry.

abc: 2.7887 2.7887 27.9108
angles: 90.00 90.00 120.00
With the nearest neighbours (Å) after each atom.
Space group R-3m (No. 166, hexagonal axes)
Symmetry-distinct sites (fractional):
P 0.0000 0.0000 0.0000  6 N 1.84
Br 0.0000 0.0000 0.5000  6 Br 2.79
N 0.0000 0.0000 0.3649  3 P 1.84

Calculated values
Polymorph energy (0 for the lowest one): 37.2 meV per atom

12.
Density functional theory data (PBE) for crystalline PBrN2 at its relaxed geometry.

abc: 5.7209 5.7209 5.7209
angles: 90.00 90.00 90.00
With the nearest neighbours (Å) after each atom.
Space group Fm-3m (No. 225)
Symmetry-distinct sites (fractional):
P 0.0000 0.0000 0.0000  8 N 2.48
Br 0.0000 0.0000 0.5000  8 N 2.48
N 0.2500 0.2500 0.2500  4 Br 2.48, 4 P 2.48

Calculated values
Polymorph energy (0 for the lowest one): 1955.0 meV per atom

13.
Density functional theory data (PBE) for crystalline PBr3N at its relaxed geometry.

abc: 5.1103 5.1103 5.1103
angles: 90.00 90.00 90.00
With the nearest neighbours (Å) after each atom.
Space group Pm-3m (No. 221)
Symmetry-distinct sites (fractional):
P 0.0000 0.0000 0.0000  6 Br 2.56
Br 0.0000 0.0000 0.5000  2 P 2.56
N 0.5000 0.5000 0.5000  12 Br 3.61

Calculated values
Polymorph energy (0 for the lowest one): 0.0 meV per atom

14.
Density functional theory data (PBE) for crystalline P3BrN at its relaxed geometry.

abc: 4.7940 4.7940 4.7940
angles: 90.00 90.00 90.00
With the nearest neighbours (Å) after each atom.
Space group Pm-3m (No. 221)
Symmetry-distinct sites (fractional):
P 0.0000 0.0000 0.5000  2 Br 2.40
Br 0.0000 0.0000 0.0000  6 P 2.40
N 0.5000 0.5000 0.5000  12 P 3.39

Calculated values
Polymorph energy (0 for the lowest one): 1487.1 meV per atom

15.
Density functional theory data (PBE) for crystalline Pa2P2BrN6 at its relaxed geometry.

abc: 5.8744 6.0409 6.3602
angles: 70.10 64.99 64.34
With the nearest neighbours (Å) after each atom.
Space group P-1 (No. 2)
Symmetry-distinct sites (fractional):
Pa 0.0423 0.3059 0.2942  6 N 2.23-2.49
P 0.4146 0.6769 0.2481  3 N 1.59-1.60
Br 0.0000 0.0000 0.0000  2 P 3.04, 2 Pa 3.18, 6 N 3.25-3.37
N 0.2550 0.4834 0.3805  1 P 1.60
N 0.2720 0.9028 0.3889  1 P 1.60
N 0.2771 0.4104 0.9035  1 P 1.59

16.
Density functional theory data (PBE) for crystalline PPbBr2N at its relaxed geometry.

abc: 5.8353 5.8353 5.5559
angles: 90.00 90.00 90.00
With the nearest neighbours (Å) after each atom.
Space group P4/mmm (No. 123)
Symmetry-distinct sites (fractional):
P 0.0000 0.0000 0.0000  2 Pb 2.78
Pb 0.0000 0.0000 0.5000  2 P 2.78, 4 Br 2.92
Br 0.0000 0.5000 0.5000  2 Pb 2.92
N 0.5000 0.5000 0.0000  8 Br 4.03, 4 P 4.13

Calculated values
Polymorph energy (0 for the lowest one): 0.0 meV per atom

17.
Density functional theory data (PBE) for crystalline PPbBr2N at its relaxed geometry.

abc: 5.8795 5.8795 4.1917
angles: 90.00 90.00 90.00
With the nearest neighbours (Å) after each atom.
Space group P4/mmm (No. 123)
Symmetry-distinct sites (fractional):
P 0.0000 0.0000 0.0000  8 Br 3.61
Pb 0.5000 0.5000 0.5000  2 N 2.10
Br 0.0000 0.5000 0.5000  2 Pb 2.94
N 0.5000 0.5000 0.0000  2 Pb 2.10

Calculated values
Polymorph energy (0 for the lowest one): 24.4 meV per atom

18.
Density functional theory data (PBE) for crystalline Pr8P3Br4N at its relaxed geometry.

abc: 8.2174 8.2174 22.1712
angles: 90.00 90.00 120.00
With the nearest neighbours (Å) after each atom.
Space group R-3m (No. 166, hexagonal axes)
Symmetry-distinct sites (fractional):
Pr 0.0000 0.0000 0.2336  3 P 2.80
Pr 0.0303 0.5152 0.2307  1 N 2.58, 2 P 2.86
P 0.0000 0.5000 0.5000  6 Pr 2.80-2.86
Br 0.0000 0.0000 0.0000  6 Pr 3.45
Br 0.0000 0.5000 0.0000  6 Pr 3.22-3.24
N 0.0000 0.0000 0.5000  6 Pr 2.58

19.
Density functional theory data (PBE) for crystalline Pr4PBr2N at its relaxed geometry.

abc: 6.9890 3.9705 7.7531
angles: 90.00 107.47 90.00
With the nearest neighbours (Å) after each atom.
Space group P2/m (No. 10)
Symmetry-distinct sites (fractional):
Pr 0.2055 0.0000 0.1862  2 N 2.62, 1 P 2.85
Pr 0.2354 0.5000 0.8090  1 N 2.52, 2 P 2.81
P 0.5000 0.0000 0.0000  6 Pr 2.81-2.85
Br 0.0000 0.0000 0.5000  6 Pr 3.17-3.18
Br 0.5000 0.5000 0.5000  6 Pr 3.33-3.44
N 0.0000 0.5000 0.0000  6 Pr 2.52-2.62

20.
Density functional theory data (PBE) for crystalline Rb2PBr6N at its relaxed geometry.

abc: 7.1184 7.1184 11.6502
angles: 90.00 90.00 90.00
With the nearest neighbours (Å) after each atom.
Space group I4/mmm (No. 139)
Symmetry-distinct sites (fractional):
Rb 0.0000 0.5000 0.2500  12 Br 3.58-3.85
P 0.0000 0.0000 0.0000  6 Br 2.54-2.55
Br 0.0000 0.0000 0.2189  1 P 2.55
Br 0.2478 0.2478 0.5000  1 N 2.49, 1 P 2.54
N 0.0000 0.0000 0.5000  4 Br 2.49

21.
Density functional theory data (PBE) for crystalline PSBr2N at its relaxed geometry.

abc: 4.7159 4.7159 4.0644
angles: 90.00 90.00 90.00
With the nearest neighbours (Å) after each atom.
Space group P4/mmm (No. 123)
Symmetry-distinct sites (fractional):
P 0.0000 0.0000 0.0000  8 Br 3.11, 4 S 3.33
S 0.5000 0.5000 0.0000  2 N 2.03
Br 0.0000 0.5000 0.5000  2 N 2.36
N 0.5000 0.5000 0.5000  2 S 2.03

22.
Density functional theory data (PBE) for crystalline PSe2BrN at its relaxed geometry.

abc: 5.3214 5.3214 3.2313
angles: 90.00 90.00 90.00
With the nearest neighbours (Å) after each atom.
Space group P4/mmm (No. 123)
Symmetry-distinct sites (fractional):
P 0.0000 0.0000 0.0000  2 N 1.62
Se 0.0000 0.5000 0.0000  2 P 2.66
Br 0.5000 0.5000 0.5000  8 Se 3.11, 2 Br 3.23
N 0.0000 0.0000 0.5000  2 P 1.62

Calculated values
Polymorph energy (0 for the lowest one): 0.0 meV per atom

23.
Density functional theory data (PBE) for crystalline PSe2BrN at its relaxed geometry.

abc: 4.5411 4.5411 4.3768
angles: 90.00 90.00 90.00
With the nearest neighbours (Å) after each atom.
Space group P4/mmm (No. 123)
Symmetry-distinct sites (fractional):
P 0.0000 0.0000 0.0000  8 Se 3.15, 4 Br 3.21
Se 0.0000 0.5000 0.5000  2 N 2.27
Br 0.5000 0.5000 0.0000  2 N 2.19
N 0.5000 0.5000 0.5000  2 Br 2.19, 4 Se 2.27

Calculated values
Polymorph energy (0 for the lowest one): 547.1 meV per atom

24.
Density functional theory data (PBE) for crystalline PSe2BrN at its relaxed geometry.

abc: 5.2681 5.2681 3.7037
angles: 90.00 90.00 90.00
With the nearest neighbours (Å) after each atom.
Space group P4/mmm (No. 123)
Symmetry-distinct sites (fractional):
P 0.0000 0.0000 0.0000  8 Se 3.22
Se 0.0000 0.5000 0.5000  2 Br 2.63
Br 0.5000 0.5000 0.5000  2 N 1.85
N 0.5000 0.5000 0.0000  2 Br 1.85

Calculated values
Polymorph energy (0 for the lowest one): 1046.0 meV per atom

25.
Density functional theory data (PBE) for crystalline PSeBr2N at its relaxed geometry.

abc: 4.4623 4.4623 4.7911
angles: 90.00 90.00 90.00
With the nearest neighbours (Å) after each atom.
Space group P4/mmm (No. 123)
Symmetry-distinct sites (fractional):
P 0.0000 0.0000 0.0000  4 Se 3.16, 8 Br 3.27
Se 0.5000 0.5000 0.0000  2 N 2.40
Br 0.0000 0.5000 0.5000  2 N 2.23
N 0.5000 0.5000 0.5000  4 Br 2.23, 2 Se 2.40

Calculated values
Polymorph energy (0 for the lowest one): 106.8 meV per atom

26.
Density functional theory data (PBE) for crystalline PSeBrN2 at its relaxed geometry.

abc: 3.5511 3.5511 6.0571
angles: 90.00 90.00 90.00
With the nearest neighbours (Å) after each atom.
Space group P4/mmm (No. 123)
Symmetry-distinct sites (fractional):
P 0.0000 0.0000 0.0000  4 N 1.78
Se 0.0000 0.0000 0.5000  4 Br 2.51
Br 0.5000 0.5000 0.5000  4 Se 2.51
N 0.0000 0.5000 0.0000  2 P 1.78

Calculated values
Polymorph energy (0 for the lowest one): 0.0 meV per atom

27.
Density functional theory data (PBE) for crystalline PSeBr2N at its relaxed geometry.

abc: 5.2162 5.2162 4.7866
angles: 90.00 90.00 90.00
With the nearest neighbours (Å) after each atom.
Space group P4/mmm (No. 123)
Symmetry-distinct sites (fractional):
P 0.0000 0.0000 0.0000  2 Se 2.39, 4 Br 2.61
Se 0.0000 0.0000 0.5000  2 P 2.39
Br 0.0000 0.5000 0.0000  2 P 2.61
N 0.5000 0.5000 0.5000  8 Br 3.54, 4 Se 3.69

Calculated values
Polymorph energy (0 for the lowest one): 0.0 meV per atom

Computed values of formation energy without anion corrections (unit: meV per atom) for the preceding records, in sequence: 2115 2628 1545 1449 1395 2940 562 127 1304 1656 600 2517 999 2791 -852 1204 1229 -1455 -1410 -346 1456 722 1269 1768 1324 1063 1217.